Crystalline InSn2 at its relaxed geometry. Source: Alexandria via LeMat-Bulk, functional PBE.

Results
**DOS at the Fermi energy**: 2.04 states/eV/f.u.
**Mass density**: 6.63 g cm⁻³
**Total magnetic moment**: 0.00 μB/f.u.
**E_tot**: -3.4874 eV/atom

Lattice parameters (Å, degrees): 6.296 6.296 6.296 60.00 60.00 60.00
Element x y z (fractional)
Sn  0.125  0.625  0.625
Sn  0.625  0.125  0.625
Sn  0.625  0.625  0.625
Sn  0.625  0.625  0.125
In  0.000  0.000  0.000
In  0.250  0.250  0.250

***

Crystalline Sc3Ag2Au at its relaxed geometry. Source: Alexandria via LeMat-Bulk, functional PBE.

Results
**DOS at the Fermi energy**: 2.36 states/eV/f.u.
**Mass density**: 7.56 g cm⁻³
**Total magnetic moment**: 0.00 μB/f.u.
**Distance to the lowest polymorph of the same formula**: 0 meV per atom

Lattice parameters (Å, degrees): 3.409 3.409 10.349 90.00 90.00 90.00
Element x y z (fractional)
Sc  0.000  0.000  0.000
Sc  0.000  0.000  0.663
Sc  0.000  0.000  0.337
Ag  0.500  0.500  0.833
Ag  0.500  0.500  0.167
Au  0.500  0.500  0.500

***

Crystalline DyAlAu4 at its relaxed geometry. Source: Alexandria via LeMat-Bulk, functional PBE.

Results
**DOS at the Fermi energy**: 2.19 states/eV/f.u.
**Mass density**: 13.49 g cm⁻³
**Total magnetic moment**: 0.00 μB/f.u.
**Distance to the lowest polymorph of the same formula**: 0 meV per atom

Lattice parameters (Å, degrees): 6.402 6.402 7.384 75.41 75.41 56.05
Element x y z (fractional)
Dy  0.759  0.759  0.820
Dy  0.241  0.241  0.180
Al  0.561  0.561  0.256
Al  0.439  0.439  0.744
Au  0.786  0.786  0.198
Au  0.131  0.641  0.450
Au  0.248  0.752  0.000
Au  0.359  0.869  0.550
Au  0.214  0.214  0.802
Au  0.869  0.359  0.550
Au  0.752  0.248  0.000
Au  0.641  0.131  0.450

***

Crystalline La4TePtS2 at its relaxed geometry. Source: Alexandria via LeMat-Bulk, functional PBE.

Results
**DOS at the Fermi energy**: 5.35 states/eV/f.u.
**Mass density**: 6.92 g cm⁻³
**Total magnetic moment**: 0.00 μB/f.u.
**Raw formation energy**: -1.71 eV/atom

Lattice parameters (Å, degrees): 4.227 7.503 7.559 70.65 90.00 90.00
Element x y z (fractional)
La  0.000  0.753  0.764
La  0.000  0.247  0.236
La  0.500  0.778  0.235
La  0.500  0.222  0.765
Te  0.000  0.500  0.500
Pt  0.500  0.500  0.000
S  0.000  0.000  0.000
S  0.500  0.000  0.500

***

Crystalline Na3Tl2Au3 at its relaxed geometry. Source: Alexandria via LeMat-Bulk, functional PBE.

Results
**DOS at the Fermi energy**: 3.99 states/eV/f.u.
**Mass density**: 8.59 g cm⁻³
**Total magnetic moment**: 0.00 μB/f.u.
**E_tot**: -2.4936 eV/atom

Lattice parameters (Å, degrees): 6.381 8.647 8.647 120.00 90.00 90.00
Element x y z (fractional)
Na  0.750  0.265  0.000
Na  0.750  0.735  0.735
Na  0.750  0.000  0.265
Na  0.250  0.735  0.000
Na  0.250  0.265  0.265
Na  0.250  0.000  0.735
Tl  0.000  0.333  0.667
Tl  0.500  0.667  0.333
Tl  0.000  0.667  0.333
Tl  0.500  0.333  0.667
Au  0.750  0.612  0.000
Au  0.750  0.388  0.388
Au  0.750  0.000  0.612
Au  0.250  0.388  0.000
Au  0.250  0.612  0.612
Au  0.250  0.000  0.388